No. 1
Mg2AlCu: relaxed, PBE.

Its crystal system is tetragonal. Its density is 3335 kg/m3. The value obtained for the formation energy is -0.008 eV/atom. Its total energy is -2.76 eV/atom.

abc: 4.114 4.116 4.091
angles: 90.00 90.00 90.00
Fractional coordinates of all 4 atoms:
Mg (0.500, 0.500, 0.000)
Mg (0.000, 0.000, 0.000)
Al (0.500, 0.000, 0.500)
Cu (0.000, 0.500, 0.500)

***

No. 2
MgAlCu: relaxed, PBE.

Its crystal system is cubic. Its density is 3500 kg/m3. The value obtained for the formation energy is -0.032 eV/atom. Its total energy is -3.18 eV/atom.

abc: 4.255 4.255 4.255
angles: 60.00 60.00 60.00
Fractional coordinates of all 3 atoms:
Cu (0.250, 0.250, 0.250)
Al (0.500, 0.500, 0.500)
Mg (0.000, 0.000, 0.000)

***

No. 3
MgAl2Cu: relaxed, PBE.

Its crystal system is orthorhombic. Its density is 3605 kg/m3. The value obtained for the formation energy is -0.008 eV/atom. Its total energy is -3.30 eV/atom.

abc: 2.874 3.967 5.731
angles: 90.00 90.00 90.00
Fractional coordinates of all 4 atoms:
Mg (0.500, 0.500, 0.750)
Cu (0.500, 0.500, 0.250)
Al (0.000, 0.000, 0.480)
Al (0.000, 0.000, 0.020)

***

No. 4
Mg2AlCu2: relaxed, PBE.

Its crystal system is tetragonal. Its density is 4045 kg/m3. The value obtained for the formation energy is -0.102 eV/atom. Its total energy is -3.13 eV/atom.

abc: 6.472 6.472 3.974
angles: 90.00 90.00 90.00
Fractional coordinates of all 10 atoms:
Al (0.000, 0.000, 0.000)
Al (0.500, 0.500, 0.000)
Mg (0.167, 0.667, 0.500)
Mg (0.333, 0.167, 0.500)
Mg (0.833, 0.333, 0.500)
Mg (0.667, 0.833, 0.500)
Cu (0.364, 0.864, 0.000)
Cu (0.864, 0.636, 0.000)
Cu (0.136, 0.364, 0.000)
Cu (0.636, 0.136, 0.000)

***

No. 5
MgAlCu: relaxed, PBE.

Its crystal system is trigonal. Its density is 3853 kg/m3. The value obtained for the formation energy is 0.001 eV/atom. Its total energy is -3.14 eV/atom.

abc: 2.966 2.966 6.496
angles: 90.00 90.00 120.00
Fractional coordinates of all 3 atoms:
Al (0.000, 0.000, 0.026)
Mg (0.333, 0.667, 0.653)
Cu (0.667, 0.333, 0.321)

***

No. 6
MgAlCu3: relaxed, PBE.

The relative energy among the computed polymorphs is 750 meV per atom. Its crystal system is cubic. Its density is 4339 kg/m3. The value obtained for the formation energy is 0.936 eV/atom. Its total energy is -2.59 eV/atom.

abc: 4.524 4.524 4.524
angles: 90.00 90.00 90.00
Fractional coordinates of all 5 atoms:
Mg (0.000, 0.000, 0.000)
Cu (0.000, 0.000, 0.500)
Cu (0.500, 0.000, 0.000)
Cu (0.000, 0.500, 0.000)
Al (0.500, 0.500, 0.500)